PBE-GGA Sr3PmO4, optimized geometry; magnetic moment = 0.0 Bohr magnetons per cell; energy relative to the elements, uncorrected = -2.683 eV per atom; crystal system = cubic; symmetry = Pm-3m, No. 221; electronic total energy = -51.1 eV for the cell shown
1.0
5.132 0.000 0.000
0.000 5.132 0.000
0.000 0.000 5.132
Sr Pm O
3 1 4
Direct
0.000 0.000 0.500
0.000 0.500 0.000
0.500 0.000 0.000
0.500 0.500 0.500
0.000 0.000 0.000
0.000 0.500 0.500
0.500 0.000 0.500
0.500 0.500 0.000

=====

PBE-GGA Cs2CdBr, optimized geometry; magnetic moment = 0.4 Bohr magnetons per cell; energy relative to the elements, uncorrected = -0.793 eV per atom; crystal system = trigonal; symmetry = R3m, No. 160; electronic total energy = -7.5 eV for the cell shown
1.0
2.544 1.469 10.054
-2.544 1.469 10.054
0.000 -2.938 10.054
Cs Cd Br
2 1 1
Direct
0.000 0.000 0.000
0.187 0.187 0.187
0.426 0.426 0.426
0.593 0.593 0.593

=====

PBE-GGA K2Tm2SnS6, optimized geometry; magnetic moment = 0.0 Bohr magnetons per cell; energy relative to the elements, uncorrected = -1.464 eV per atom; crystal system = monoclinic; symmetry = C2/m, No. 12; electronic total energy = -56.0 eV for the cell shown
1.0
3.381 -5.836 0.000
3.381 5.836 0.000
-2.268 0.000 7.591
K Tm Sn S
2 2 1 6
Direct
0.169 0.831 0.000
0.831 0.169 0.000
0.332 0.668 0.500
0.668 0.332 0.500
0.000 0.000 0.500
0.066 0.389 0.694
0.253 0.253 0.309
0.389 0.066 0.694
0.611 0.934 0.306
0.747 0.747 0.691
0.934 0.611 0.306

=====

PBE-GGA Mg3MnB, optimized geometry; magnetic moment = 4.2 Bohr magnetons per cell; crystal system = cubic; ΔE_f = 232 kJ/mol of formula units; symmetry = Pm-3m, No. 221; electronic total energy = -18.2 eV for the cell shown
1.0
4.540 0.000 0.000
0.000 4.540 0.000
0.000 0.000 4.540
Mg Mn B
3 1 1
Direct
0.000 0.000 0.500
0.000 0.500 0.000
0.500 0.000 0.000
0.500 0.500 0.500
0.000 0.000 0.000

=====

PBE-GGA Y3Ho8Tm4, optimized geometry; magnetic moment = 0.0 Bohr magnetons per cell; crystal system = monoclinic; ΔE_f = 601 kJ/mol of formula units; symmetry = C2/m, No. 12; electronic total energy = -67.7 eV for the cell shown
1.0
6.620 -6.380 0.000
6.620 6.380 0.000
-3.325 0.000 5.786
Y Ho Tm
3 8 4
Direct
0.000 0.000 0.000
0.000 0.500 0.000
0.500 0.000 0.000
0.140 0.860 0.500
0.231 0.231 0.944
0.240 0.240 0.476
0.251 0.749 0.000
0.749 0.251 0.000
0.760 0.760 0.524
0.769 0.769 0.056
0.860 0.140 0.500
0.000 0.500 0.500
0.500 0.000 0.500
0.500 0.500 0.000
0.500 0.500 0.500

=====

PBE-GGA ZnHg4S5, optimized geometry; magnetic moment = 0.0 Bohr magnetons per cell; energy relative to the elements, uncorrected = -0.124 eV per atom; crystal system = tetragonal; symmetry = I4, No. 79; electronic total energy = -24.4 eV for the cell shown
1.0
-4.229 4.229 3.335
4.229 -4.229 3.335
4.229 4.229 -3.335
Zn Hg S
1 4 5
Direct
0.000 0.000 0.000
0.188 0.476 0.696
0.476 0.780 0.288
0.492 0.188 0.712
0.780 0.492 0.304
0.097 0.384 0.279
0.105 0.818 0.721
0.384 0.105 0.287
0.638 0.638 0.000
0.818 0.097 0.713

=====

- Among the records above, which one has the highest magnetic moment?
  Mg3MnB

=====

- Which value of magnetic moment does entry 1 give?
  0.0 Bohr magnetons per cell

=====

- What is the formula in the sixth record?
  ZnHg4S5